8
Lattice="7.376 -0.008 0.027 2.496 6.899 0.032 -1.717 1.387 3.617" Properties=species:S:1:pos:R:3 comment="PBE LiBS2, optimized geometry" m_tot_mub_per_cell=0.0 e_form_raw_ev_per_atom=-0.75 dos_at_fermi_per_ev_cell=0.0 vol_a3_per_atom=23.03 spacegroup="P1, No. 1" pbc="T T T"
S -0.113 1.289 2.424
S 3.113 1.752 2.648
S 4.708 4.589 2.324
S 1.477 4.137 2.323
B 3.245 3.578 2.374
B 1.351 2.296 2.510
Li 3.837 6.608 1.280
Li 6.385 3.185 1.197

***

8
Lattice="6.366 0.000 -1.837 3.004 4.738 -3.536 -3.004 4.738 3.536" Properties=species:S:1:pos:R:3 comment="PBE LiBS2, optimized geometry" m_tot_mub_per_cell=0.0 e_form_raw_ev_per_atom=-0.76 dos_at_fermi_per_ev_cell=0.0 vol_a3_per_atom=20.13 spacegroup="C2/c, No. 15" pbc="T T T"
S 0.994 1.013 -0.058
S 2.189 5.751 -0.861
S 5.372 8.463 -1.779
S 4.178 3.725 -0.976
B 3.272 4.758 0.390
B 3.094 4.718 -2.227
Li 6.277 6.566 -3.146
Li 0.089 2.910 1.309

***

5
Lattice="4.248 0.000 0.000 0.000 4.248 0.000 0.000 0.000 4.248" Properties=species:S:1:pos:R:3 comment="PBE LiBS3, optimized geometry" m_tot_mub_per_cell=0.0 e_form_raw_ev_per_atom=0.36 dos_at_fermi_per_ev_cell=2.9 vol_a3_per_atom=15.33 spacegroup="Pm-3m, No. 221" pbc="T T T"
S 0.000 2.124 0.000
S 0.000 0.000 2.124
S 2.124 0.000 0.000
B 0.000 0.000 0.000
Li 2.124 2.124 2.124

***

20
Lattice="-3.244 4.461 -0.840 -1.330 0.221 6.308 7.155 5.451 1.318" Properties=species:S:1:pos:R:3 comment="PBE LiBS3, optimized geometry" m_tot_mub_per_cell=0.0 e_form_raw_ev_per_atom=-0.61 vol_a3_per_atom=16.36 spacegroup="Pnma, No. 62" pbc="T T T"
Li -0.665 0.110 3.154
Li 1.956 4.956 0.239
Li -1.622 2.230 -0.420
Li 2.913 2.836 3.813
B 3.249 6.365 3.070
B 0.568 1.601 5.970
B -0.667 3.767 3.716
B 2.013 8.531 0.816
S -2.440 4.571 -0.182
S 1.538 5.941 3.907
S 3.867 7.715 4.335
S 2.694 3.788 6.540
S 5.022 5.562 6.968
S 1.044 4.192 2.879
S -1.285 2.418 2.451
S -0.112 6.345 0.247
S 3.130 6.962 1.244
S -1.839 5.346 3.551
S -0.548 3.171 5.542
S 4.421 4.787 3.235